1.
Entry from the Alexandria database: an optimized crystal structure of TcOsCl2 (PBE).

DOS(E_F): 0.994 states/eV/atom
Symmetry: R-3m, No. 166
Total moment: 0.000 μB per formula unit
Density: 9.61 Mg/m³

abc: 8.419 8.419 8.419
angles: 20.17 20.17 20.17
Sites, in units of the cell vectors:
Os (0.000, 0.000, 0.000)
Tc (0.500, 0.500, 0.500)
Cl (0.908, 0.908, 0.908)
Cl (0.092, 0.092, 0.092)

***

2.
Entry from the Alexandria database: an optimized crystal structure of TcOsCl2 (PBE).

DOS(E_F): 0.841 states/eV/atom
Symmetry: Cm, No. 8
Total moment: 0.000 μB per formula unit
Density: 6.20 Mg/m³

abc: 3.546 3.546 8.845
angles: 93.11 93.11 60.00
Sites, in units of the cell vectors:
Os (0.370, 0.370, 0.570)
Tc (0.716, 0.716, 0.709)
Cl (0.067, 0.067, 0.904)
Cl (0.347, 0.347, 0.317)

***

Stability comparison, relative energies in eV/atom: 1 0.713; 2 0.000

***

1.
Entry from the Alexandria database: an optimized crystal structure of TcOsCl2 (PBE).

DOS(E_F): 1.238 states/eV/atom
Symmetry: P2/m, No. 10
Total moment: 0.963 μB per formula unit
Density: 9.43 Mg/m³

abc: 4.240 2.982 5.012
angles: 94.08 90.00 90.00
Sites, in units of the cell vectors:
Os (0.500, 0.250, 0.250)
Tc (0.500, 0.750, 0.750)
Cl (0.000, 0.007, 0.000)
Cl (0.000, 0.493, 0.500)

***

2.
Entry from the Alexandria database: an optimized crystal structure of TcOsCl2 (PBE).

DOS(E_F): 1.002 states/eV/atom
Symmetry: F-43m, No. 216
Total moment: 0.474 μB per formula unit
Density: 9.38 Mg/m³

abc: 4.480 4.480 4.480
angles: 60.00 60.00 60.00
Sites, in units of the cell vectors:
Os (0.500, 0.500, 0.500)
Tc (0.750, 0.750, 0.750)
Cl (0.000, 0.000, 0.000)
Cl (0.250, 0.250, 0.250)

***

Stability comparison, relative energies in eV/atom: 1 0.000; 2 0.149

***

1.
Entry from the Alexandria database: an optimized crystal structure of TcOsCl3 (PBE).

DOS(E_F): 1.594 states/eV/atom
Symmetry: Pm-3m, No. 221
Total moment: 7.595 μB per formula unit
Density: 5.47 Mg/m³

abc: 4.929 4.929 4.929
angles: 90.00 90.00 90.00
Sites, in units of the cell vectors:
Os (0.500, 0.500, 0.500)
Tc (0.000, 0.000, 0.000)
Cl (0.000, 0.500, 0.000)
Cl (0.000, 0.000, 0.500)
Cl (0.500, 0.000, 0.000)

***

2.
Entry from the Alexandria database: an optimized crystal structure of TcOsCl3 (PBE).

DOS(E_F): 0.865 states/eV/atom
Symmetry: Pm-3m, No. 221
Total moment: 5.008 μB per formula unit
Density: 6.04 Mg/m³

abc: 4.769 4.769 4.769
angles: 90.00 90.00 90.00
Sites, in units of the cell vectors:
Os (0.000, 0.000, 0.000)
Tc (0.500, 0.500, 0.500)
Cl (0.000, 0.500, 0.000)
Cl (0.000, 0.000, 0.500)
Cl (0.500, 0.000, 0.000)

***

Stability comparison, relative energies in eV/atom: 1 0.165; 2 0.000

***

1.
Entry from the Alexandria database: an optimized crystal structure of Te2OsCl (PBE).

DOS(E_F): 0.587 states/eV/atom
Symmetry: Cm, No. 8
Total moment: 0.000 μB per formula unit
Density: 6.68 Mg/m³

abc: 6.563 6.563 5.995
angles: 64.16 64.16 31.26
Sites, in units of the cell vectors:
Cl (0.603, 0.603, 0.434)
Os (0.243, 0.243, 0.141)
Te (0.900, 0.900, 0.115)
Te (0.755, 0.755, 0.810)

***

2.
Entry from the Alexandria database: an optimized crystal structure of Te2OsCl (PBE).

DOS(E_F): 1.153 states/eV/atom
Symmetry: Cmm2, No. 35
Total moment: 0.000 μB per formula unit
Density: 7.89 Mg/m³

abc: 3.212 3.212 11.514
angles: 90.00 90.00 121.50
Sites, in units of the cell vectors:
Cl (0.000, 0.000, 0.581)
Os (0.500, 0.500, 0.744)
Te (0.000, 0.000, 0.930)
Te (0.500, 0.500, 0.244)

***

3.
Entry from the Alexandria database: an optimized crystal structure of Te2OsCl (PBE).

DOS(E_F): 1.159 states/eV/atom
Symmetry: R-3m, No. 166
Total moment: 0.000 μB per formula unit
Density: 8.44 Mg/m³

abc: 11.652 11.652 11.652
angles: 15.19 15.19 15.19
Sites, in units of the cell vectors:
Te (0.925, 0.925, 0.925)
Te (0.075, 0.075, 0.075)
Os (0.000, 0.000, 0.000)
Cl (0.500, 0.500, 0.500)

***

4.
Entry from the Alexandria database: an optimized crystal structure of Te2OsCl (PBE).

DOS(E_F): 0.714 states/eV/atom
Symmetry: Imm2, No. 44
Total moment: 0.383 μB per formula unit
Density: 7.52 Mg/m³

abc: 7.001 7.001 7.001
angles: 151.57 139.24 50.44
Sites, in units of the cell vectors:
Cl (0.591, 0.591, 0.000)
Os (0.747, 0.247, 0.500)
Te (0.900, 0.900, 0.000)
Te (0.262, 0.762, 0.500)

***

Stability comparison, relative energies in eV/atom: 1 0.000; 2 0.335; 3 0.478; 4 0.122

***

1.
Entry from the Alexandria database: an optimized crystal structure of Te2OsCl (PBE).

DOS(E_F): 0.777 states/eV/atom
Symmetry: R-3m, No. 166
Total moment: 0.000 μB per formula unit
Density: 6.96 Mg/m³

abc: 8.186 8.186 8.186
angles: 29.08 29.08 29.08
Sites, in units of the cell vectors:
Te (0.886, 0.886, 0.886)
Te (0.114, 0.114, 0.114)
Os (0.500, 0.500, 0.500)
Cl (0.000, 0.000, 0.000)

***

2.
Entry from the Alexandria database: an optimized crystal structure of Te2OsCl (PBE).

DOS(E_F): 0.839 states/eV/atom
Symmetry: Cmmm, No. 65
Total moment: 0.000 μB per formula unit
Density: 9.29 Mg/m³

abc: 3.209 3.209 9.434
angles: 90.00 90.00 117.72
Sites, in units of the cell vectors:
Cl (0.500, 0.500, 0.250)
Os (0.500, 0.500, 0.750)
Te (0.000, 0.000, 0.980)
Te (0.000, 0.000, 0.520)

***

Stability comparison, relative energies in eV/atom: 1 0.000; 2 0.510

***

1.
Entry from the Alexandria database: an optimized crystal structure of Te2OsCl (PBE).

DOS(E_F): 0.747 states/eV/atom
Symmetry: Cmmm, No. 65
Total moment: 0.000 μB per formula unit
Density: 9.51 Mg/m³

abc: 5.187 5.187 3.338
angles: 90.00 90.00 110.74
Sites, in units of the cell vectors:
Cl (0.500, 0.000, 0.500)
Os (0.000, 0.500, 0.500)
Te (0.000, 0.000, 0.000)
Te (0.500, 0.500, 0.000)

***

2.
Entry from the Alexandria database: an optimized crystal structure of Te2OsCl (PBE).

DOS(E_F): 0.469 states/eV/atom
Symmetry: P4mm, No. 99
Total moment: 0.000 μB per formula unit
Density: 7.44 Mg/m³

abc: 3.143 3.143 10.869
angles: 90.00 90.00 90.00
Sites, in units of the cell vectors:
Cl (0.000, 0.000, 0.602)
Os (0.500, 0.500, 0.764)
Te (0.000, 0.000, 0.903)
Te (0.500, 0.500, 0.231)

***

Stability comparison, relative energies in eV/atom: 1 0.544; 2 0.000

***

1.
Entry from the Alexandria database: an optimized crystal structure of Te2OsCl (PBE).

DOS(E_F): 0.845 states/eV/atom
Symmetry: Immm, No. 71
Total moment: 0.000 μB per formula unit
Density: 8.30 Mg/m³

abc: 6.823 6.823 6.823
angles: 153.04 137.87 50.73
Sites, in units of the cell vectors:
Cl (0.250, 0.750, 0.500)
Os (0.750, 0.250, 0.500)
Te (0.926, 0.926, 0.000)
Te (0.574, 0.574, 0.000)

***

2.
Entry from the Alexandria database: an optimized crystal structure of Te2OsCl (PBE).

DOS(E_F): 0.811 states/eV/atom
Symmetry: C2/m, No. 12
Total moment: 0.000 μB per formula unit
Density: 8.15 Mg/m³

abc: 3.851 3.851 7.935
angles: 76.13 76.13 60.06
Sites, in units of the cell vectors:
Cl (0.750, 0.750, 0.750)
Os (0.250, 0.250, 0.250)
Te (0.981, 0.981, 0.055)
Te (0.519, 0.519, 0.445)

***

3.
Entry from the Alexandria database: an optimized crystal structure of Te2OsCl (PBE).

DOS(E_F): 0.397 states/eV/atom
Symmetry: Fm-3m, No. 225
Total moment: 0.000 μB per formula unit
Density: 10.08 Mg/m³

abc: 4.820 4.820 4.820
angles: 60.00 60.00 60.00
Sites, in units of the cell vectors:
Te (0.250, 0.250, 0.250)
Te (0.750, 0.750, 0.750)
Os (0.500, 0.500, 0.500)
Cl (0.000, 0.000, 0.000)

***

4.
Entry from the Alexandria database: an optimized crystal structure of Te2OsCl (PBE).

DOS(E_F): 0.676 states/eV/atom
Symmetry: P2/m, No. 10
Total moment: 0.576 μB per formula unit
Density: 9.07 Mg/m³

abc: 3.351 3.217 8.488
angles: 74.20 90.00 90.00
Sites, in units of the cell vectors:
Cl (0.500, 0.250, 0.250)
Os (0.500, 0.750, 0.750)
Te (0.000, 0.118, 0.956)
Te (0.000, 0.382, 0.544)

***

Stability comparison, relative energies in eV/atom: 1 0.495; 2 0.000; 3 0.525; 4 0.221

***

1.
Entry from the Alexandria database: an optimized crystal structure of Te2OsCl (PBE).

DOS(E_F): 0.772 states/eV/atom
Symmetry: P4/mmm, No. 123
Total moment: 0.002 μB per formula unit
Density: 9.27 Mg/m³

abc: 3.245 3.245 8.182
angles: 90.00 90.00 90.00
Sites, in units of the cell vectors:
Cl (0.500, 0.500, 0.250)
Os (0.500, 0.500, 0.750)
Te (0.000, 0.000, 0.960)
Te (0.000, 0.000, 0.540)

***

2.
Entry from the Alexandria database: an optimized crystal structure of Te2OsCl (PBE).

DOS(E_F): 1.158 states/eV/atom
Symmetry: Pmmm, No. 47
Total moment: 1.177 μB per formula unit
Density: 7.53 Mg/m³

abc: 3.172 7.553 4.429
angles: 90.00 90.00 90.00
Sites, in units of the cell vectors:
Cl (0.500, 0.000, 0.500)
Os (0.000, 0.500, 0.500)
Te (0.000, 0.000, 0.000)
Te (0.500, 0.500, 0.000)

***

Stability comparison, relative energies in eV/atom: 1 0.000; 2 0.734

***

1.
Entry from the Alexandria database: an optimized crystal structure of Te2OsCl (PBE).

DOS(E_F): 0.482 states/eV/atom
Symmetry: P4mm, No. 99
Total moment: 0.000 μB per formula unit
Density: 6.94 Mg/m³

abc: 3.686 3.686 8.468
angles: 90.00 90.00 90.00
Sites, in units of the cell vectors:
Cl (0.000, 0.000, 0.551)
Os (0.500, 0.500, 0.901)
Te (0.000, 0.000, 0.846)
Te (0.500, 0.500, 0.201)

***

2.
Entry from the Alexandria database: an optimized crystal structure of Te2OsCl (PBE).

DOS(E_F): 1.163 states/eV/atom
Symmetry: I-4m2, No. 119
Total moment: 0.011 μB per formula unit
Density: 9.46 Mg/m³

abc: 5.105 5.105 5.105
angles: 125.80 125.80 80.21
Sites, in units of the cell vectors:
Cl (0.500, 0.500, 0.000)
Os (0.750, 0.250, 0.500)
Te (0.000, 0.000, 0.000)
Te (0.250, 0.750, 0.500)

***

Stability comparison, relative energies in eV/atom: 1 0.000; 2 0.644

***

1.
Entry from the Alexandria database: an optimized crystal structure of Te2OsCl (PBE).

DOS(E_F): 0.787 states/eV/atom
Symmetry: Amm2, No. 38
Total moment: 0.000 μB per formula unit
Density: 6.43 Mg/m³

abc: 3.710 7.065 7.065
angles: 42.07 90.00 90.00
Sites, in units of the cell vectors:
Cl (0.000, 0.631, 0.631)
Os (0.500, 0.770, 0.771)
Te (0.000, 0.899, 0.898)
Te (0.500, 0.200, 0.200)

***

2.
Entry from the Alexandria database: an optimized crystal structure of Te2OsCl (PBE).

DOS(E_F): 0.889 states/eV/atom
Symmetry: Pmmm, No. 47
Total moment: 0.000 μB per formula unit
Density: 9.36 Mg/m³

abc: 3.305 4.781 5.400
angles: 90.00 90.00 90.00
Sites, in units of the cell vectors:
Cl (0.500, 0.500, 0.000)
Os (0.000, 0.000, 0.500)
Te (0.000, 0.000, 0.000)
Te (0.500, 0.500, 0.500)

***

3.
Entry from the Alexandria database: an optimized crystal structure of Te2OsCl (PBE).

DOS(E_F): 0.482 states/eV/atom
Symmetry: I-42d, No. 122
Total moment: 0.000 μB per formula unit
Density: 6.21 Mg/m³

abc: 6.968 6.968 7.237
angles: 61.22 61.22 90.00
Sites, in units of the cell vectors:
Te (0.697, 0.125, 0.250)
Te (0.053, 0.625, 0.250)
Te (0.375, 0.303, 0.750)
Te (0.875, 0.947, 0.750)
Os (0.000, 0.000, 0.000)
Os (0.750, 0.250, 0.500)
Cl (0.500, 0.500, 0.000)
Cl (0.250, 0.750, 0.500)

***

4.
Entry from the Alexandria database: an optimized crystal structure of Te2OsCl (PBE).

DOS(E_F): 0.578 states/eV/atom
Symmetry: P4/mmm, No. 123
Total moment: 0.000 μB per formula unit
Density: 9.40 Mg/m³

abc: 4.652 4.272 4.272
angles: 90.00 90.00 90.00
Sites, in units of the cell vectors:
Cl (0.500, 0.500, 0.000)
Os (0.500, 0.000, 0.500)
Te (0.000, 0.000, 0.000)
Te (0.000, 0.500, 0.500)

***

Stability comparison, relative energies in eV/atom: 1 0.000; 2 0.402; 3 0.100; 4 1.015

***

1.
Entry from the Alexandria database: an optimized crystal structure of TeOs3Cl (PBE).

DOS(E_F): 0.912 states/eV/atom
Symmetry: Pm-3m, No. 221
Total moment: 4.595 μB per formula unit
Density: 10.13 Mg/m³

abc: 4.937 4.937 4.937
angles: 90.00 90.00 90.00
Sites, in units of the cell vectors:
Te (0.000, 0.000, 0.000)
Os (0.000, 0.500, 0.000)
Os (0.000, 0.000, 0.500)
Os (0.500, 0.000, 0.000)
Cl (0.500, 0.500, 0.500)

***

2.
Entry from the Alexandria database: an optimized crystal structure of TeOs3Cl (PBE).

DOS(E_F): 1.079 states/eV/atom
Symmetry: Pm-3m, No. 221
Total moment: 0.000 μB per formula unit
Density: 13.69 Mg/m³

abc: 4.465 4.465 4.465
angles: 90.00 90.00 90.00
Sites, in units of the cell vectors:
Te (0.500, 0.500, 0.500)
Os (0.000, 0.500, 0.000)
Os (0.000, 0.000, 0.500)
Os (0.500, 0.000, 0.000)
Cl (0.000, 0.000, 0.000)

***

Stability comparison, relative energies in eV/atom: 1 0.590; 2 0.000

***

1.
Entry from the Alexandria database: an optimized crystal structure of TiOs2Cl (PBE).

DOS(E_F): 1.404 states/eV/atom
Symmetry: Fm-3m, No. 225
Total moment: 0.000 μB per formula unit
Density: 12.72 Mg/m³

abc: 4.408 4.408 4.408
angles: 60.00 60.00 60.00
Sites, in units of the cell vectors:
Cl (0.000, 0.000, 0.000)
Os (0.250, 0.250, 0.250)
Os (0.750, 0.750, 0.750)
Ti (0.500, 0.500, 0.500)

***

2.
Entry from the Alexandria database: an optimized crystal structure of TiOs2Cl (PBE).

DOS(E_F): 0.684 states/eV/atom
Symmetry: I-42d, No. 122
Total moment: 0.000 μB per formula unit
Density: 9.58 Mg/m³

abc: 5.250 5.250 6.912
angles: 67.68 67.68 90.00
Sites, in units of the cell vectors:
Cl (0.500, 0.500, 0.000)
Cl (0.250, 0.750, 0.500)
Os (0.588, 0.125, 0.250)
Os (0.162, 0.625, 0.250)
Os (0.375, 0.412, 0.750)
Os (0.875, 0.838, 0.750)
Ti (0.000, 0.000, 0.000)
Ti (0.750, 0.250, 0.500)

***

Stability comparison, relative energies in eV/atom: 1 0.000; 2 0.423